Record 1
This record from Alexandria describes crystalline Hf2CdCo2 at its relaxed geometry. The functional is GGA-PBE.

Calculated values
- DFT formation energy (eV per atom) = -0.0345
- V (Å³ per cell) = 184.3
- calculated density (g/cm3) = 10.6
- total DFT energy (no corrections) (eV/cell) = -70.4
- magnetization (μB per cell) = 0.0

a = 4.298 Å, b = 4.298 Å, c = 9.976 Å
α = 90.00°, β = 90.00°, γ = 90.00°
Space group I4/mmm (No. 139)
Asymmetric unit:
1 Hf 0.000 0.500 0.250 x4
2 Cd 0.000 0.000 0.000 x2
3 Co 0.000 0.000 0.389 x4


Record 2
This record from Alexandria describes crystalline HfCd2Co at its relaxed geometry. The functional is GGA-PBE.

Calculated values
- DFT formation energy (eV per atom) = 0.4324
- V (Å³ per cell) = 319.8
- calculated density (g/cm3) = 9.6
- total DFT energy (no corrections) (eV/cell) = -68.6
- magnetization (μB per cell) = 0.0

a = 7.951 Å, b = 7.951 Å, c = 5.059 Å
α = 90.00°, β = 90.00°, γ = 90.00°
Space group I-42d (No. 122)
Asymmetric unit:
1 Hf 0.000 0.000 0.000 x4
2 Cd 0.188 0.750 0.625 x8
3 Co 0.000 0.000 0.500 x4


Record 3
This record from Alexandria describes crystalline Hf8CdCo2 at its relaxed geometry. The functional is GGA-PBE.

Calculated values
- DFT formation energy (eV per atom) = -0.0364
- V (Å³ per cell) = 449.8
- calculated density (g/cm3) = 12.2
- total DFT energy (no corrections) (eV/cell) = -190.3
- magnetization (μB per cell) = 0.0

a = 13.832 Å, b = 5.780 Å, c = 5.630 Å
α = 90.00°, β = 92.19°, γ = 90.00°
Space group C2/m (No. 12)
Asymmetric unit:
1 Hf 0.094 0.000 0.126 x4
2 Hf 0.112 0.248 0.637 x8
3 Hf 0.213 0.500 0.115 x4
4 Cd 0.000 0.500 0.000 x2
5 Co 0.235 0.000 0.410 x4


Record 4
This record from Alexandria describes crystalline HfCd2Co at its relaxed geometry. The functional is GGA-PBE.

Calculated values
- DFT formation energy (eV per atom) = 0.2613
- V (Å³ per cell) = 286.1
- calculated density (g/cm3) = 10.7
- total DFT energy (no corrections) (eV/cell) = -71.4
- magnetization (μB per cell) = 0.0

a = 6.589 Å, b = 6.589 Å, c = 6.589 Å
α = 90.00°, β = 90.00°, γ = 90.00°
Space group Fm-3m (No. 225)
Asymmetric unit:
1 Hf 0.000 0.000 0.000 x4
2 Cd 0.250 0.250 0.250 x8
3 Co 0.000 0.000 0.500 x4


Record 5
This record from Alexandria describes crystalline HfCdCo at its relaxed geometry. The functional is GGA-PBE.

Calculated values
- DFT formation energy (eV per atom) = -0.1936
- V (Å³ per cell) = 212.4
- calculated density (g/cm3) = 10.9
- total DFT energy (no corrections) (eV/cell) = -74.2
- magnetization (μB per cell) = 0.8

a = 3.071 Å, b = 15.418 Å, c = 4.486 Å
α = 90.00°, β = 90.00°, γ = 90.00°
Space group Cmcm (No. 63)
Asymmetric unit:
1 Hf 0.000 0.076 0.250 x4
2 Cd 0.000 0.213 0.750 x4
3 Co 0.000 0.443 0.250 x4


Record 6
This record from Alexandria describes crystalline HfCdCo2 at its relaxed geometry. The functional is GGA-PBE.

Calculated values
- DFT formation energy (eV per atom) = -0.1236
- V (Å³ per cell) = 61.1
- calculated density (g/cm3) = 11.1
- total DFT energy (no corrections) (eV/cell) = -25.6
- magnetization (μB per cell) = 0.3

a = 3.157 Å, b = 3.157 Å, c = 6.130 Å
α = 90.00°, β = 90.00°, γ = 90.00°
Space group P4/mmm (No. 123)
Asymmetric unit:
1 Hf 0.000 0.000 0.000 x1
2 Cd 0.000 0.000 0.500 x1
3 Co 0.500 0.500 0.233 x2


Record 7
This record from Alexandria describes crystalline Hf4CdCo2 at its relaxed geometry. The functional is GGA-PBE.

Calculated values
- DFT formation energy (eV per atom) = -0.0195
- V (Å³ per cell) = 429.8
- calculated density (g/cm3) = 10.9
- total DFT energy (no corrections) (eV/cell) = -165.2
- magnetization (μB per cell) = 0.0

a = 3.9025 Å, b = 3.9025 Å, c = 32.5843 Å
α = 90.00°, β = 90.00°, γ = 120.00°
Space group R-3m (No. 166, hexagonal axes)
Asymmetric unit:
1 Hf 0.0000 0.0000 0.1020 x6
2 Hf 0.0000 0.0000 0.3004 x6
3 Cd 0.0000 0.0000 0.5000 x3
4 Co 0.0000 0.0000 0.4002 x6


Record 8
This record from Alexandria describes crystalline Hf5CdCo4 at its relaxed geometry. The functional is GGA-PBE.

Calculated values
- DFT formation energy (eV per atom) = -0.3118
- V (Å³ per cell) = 167.7
- calculated density (g/cm3) = 12.3
- total DFT energy (no corrections) (eV/cell) = -82.2
- magnetization (μB per cell) = 0.0

a = 3.118 Å, b = 3.118 Å, c = 17.252 Å
α = 90.00°, β = 90.00°, γ = 90.00°
Space group P4/mmm (No. 123)
Asymmetric unit:
1 Hf 0.000 0.000 0.000 x1
2 Hf 0.000 0.000 0.184 x2
3 Hf 0.000 0.000 0.368 x2
4 Cd 0.500 0.500 0.500 x1
5 Co 0.500 0.500 0.091 x2
6 Co 0.500 0.500 0.274 x2


Among the records above, which one has the highest DFT formation energy?
number 2